Entry 1:
This record from the Alexandria database describes a relaxed GaGeCl2 crystal. The functional is GGA-PBEsol.

raw formation energy	-199	meV per atom
DOS(E_F)	5.793	states/eV per cell
raw total energy	-3.2728	eV/atom
space group	No. 225

Cell: 6.8536 6.8536 6.8536 Å, 90.00 90.00 90.00°
With the nearest neighbours (Å) after each atom.
Fractional positions:
Ga 0.0000 0.0000 0.0000  8 Cl 2.97
Ga 0.0000 0.5000 0.5000  8 Cl 2.97
Ga 0.5000 0.0000 0.5000  8 Cl 2.97
Ga 0.5000 0.5000 0.0000  8 Cl 2.97
Ge 0.0000 0.0000 0.5000  8 Cl 2.97
Ge 0.0000 0.5000 0.0000  8 Cl 2.97
Ge 0.5000 0.0000 0.0000  8 Cl 2.97
Ge 0.5000 0.5000 0.5000  8 Cl 2.97
Cl 0.2500 0.2500 0.2500  4 Ge 2.97, 4 Ga 2.97
Cl 0.2500 0.2500 0.7500  4 Ge 2.97, 4 Ga 2.97
Cl 0.2500 0.7500 0.2500  4 Ge 2.97, 4 Ga 2.97
Cl 0.2500 0.7500 0.7500  4 Ge 2.97, 4 Ga 2.97
Cl 0.7500 0.2500 0.2500  4 Ge 2.97, 4 Ga 2.97
Cl 0.7500 0.2500 0.7500  4 Ge 2.97, 4 Ga 2.97
Cl 0.7500 0.7500 0.2500  4 Ge 2.97, 4 Ga 2.97
Cl 0.7500 0.7500 0.7500  4 Ge 2.97, 4 Ga 2.97

=====

Entry 2:
This record from the Alexandria database describes a relaxed GaGeSCl2 crystal. The functional is GGA-PBEsol.

raw formation energy	-182	meV per atom
DOS(E_F)	2.058	states/eV per cell
raw total energy	-3.5177	eV/atom
space group	No. 123

Cell: 4.7135 4.7135 4.7606 Å, 90.00 90.00 90.00°
With the nearest neighbours (Å) after each atom.
Fractional positions:
Ga 0.0000 0.0000 0.0000  4 Cl 2.36, 2 S 2.38
Ge 0.5000 0.5000 0.5000  4 S 3.33, 8 Cl 3.35
S 0.0000 0.0000 0.5000  2 Ga 2.38
Cl 0.0000 0.5000 0.0000  2 Ga 2.36
Cl 0.5000 0.0000 0.0000  2 Ga 2.36

=====

Entry 3:
This record from the Alexandria database describes a relaxed GaHCl2 crystal. The functional is GGA-PBEsol.

relative energy among the computed polymorphs	190.4	meV/atom
DOS(E_F)	0.000	states/eV per cell
raw total energy	-3.1843	eV/atom
space group	No. 166

Cell: 4.5217 4.5217 18.0377 Å, 90.00 90.00 120.00°
With the nearest neighbours (Å) after each atom.
Fractional positions:
Ga 0.0000 0.0000 0.0000  6 Cl 2.99
Ga 0.3333 0.6667 0.6667  6 Cl 2.99
Ga 0.6667 0.3333 0.3333  6 Cl 2.99
H 0.0000 0.0000 0.5000  2 Cl 1.55
H 0.3333 0.6667 0.1667  2 Cl 1.55
H 0.6667 0.3333 0.8333  2 Cl 1.55
Cl 0.0000 0.0000 0.4138  1 H 1.55
Cl 0.0000 0.0000 0.5862  1 H 1.55
Cl 0.3333 0.6667 0.0805  1 H 1.55
Cl 0.3333 0.6667 0.2529  1 H 1.55
Cl 0.6667 0.3333 0.7471  1 H 1.55
Cl 0.6667 0.3333 0.9195  1 H 1.55

=====

Entry 4:
This record from the Alexandria database describes a relaxed GaHCl2 crystal. The functional is GGA-PBEsol.

relative energy among the computed polymorphs	0.0	meV/atom
DOS(E_F)	0.000	states/eV per cell
raw total energy	-3.3747	eV/atom
space group	No. 15

Cell: 6.6152 6.6152 9.8124 Å, 91.15 91.15 124.00°
With the nearest neighbours (Å) after each atom.
Fractional positions:
Ga 0.0694 0.3255 0.0783  1 H 1.53
Ga 0.3255 0.0694 0.5783  1 H 1.53
Ga 0.6745 0.9306 0.4217  1 H 1.53
Ga 0.9306 0.6745 0.9217  1 H 1.53
H 0.3246 0.4277 0.1394  1 Ga 1.53
H 0.4277 0.3246 0.6394  1 Ga 1.53
H 0.5723 0.6754 0.3606  1 Ga 1.53
H 0.6754 0.5723 0.8606  1 Ga 1.53
Cl 0.0402 0.2567 0.4140  1 Ga 2.17
Cl 0.0725 0.4349 0.8548  2 Ga 2.32-2.34
Cl 0.2567 0.0402 0.9140  1 Ga 2.17
Cl 0.4349 0.0725 0.3548  2 Ga 2.32-2.34
Cl 0.5651 0.9275 0.6452  2 Ga 2.32-2.34
Cl 0.7433 0.9598 0.0860  1 Ga 2.17
Cl 0.9275 0.5651 0.1452  2 Ga 2.32-2.34
Cl 0.9598 0.7433 0.5860  1 Ga 2.17

=====

Entry 5:
This record from the Alexandria database describes a relaxed HfGaH2Cl crystal. The functional is GGA-PBEsol.

DOS(E_F)	3.240	states/eV per cell
raw total energy	-3.8980	eV/atom
space group	No. 123

Cell: 3.7780 3.7780 5.0875 Å, 90.00 90.00 90.00°
With the nearest neighbours (Å) after each atom.
Fractional positions:
Hf 0.0000 0.0000 0.0000  2 Cl 2.54, 4 Ga 2.67
Ga 0.5000 0.5000 0.0000  4 Hf 2.67
H 0.0000 0.5000 0.5000  2 Cl 1.89
H 0.5000 0.0000 0.5000  2 Cl 1.89
Cl 0.0000 0.0000 0.5000  4 H 1.89

=====

Entry 6:
This record from the Alexandria database describes a relaxed GaH15N5Cl3 crystal. The functional is GGA-PBEsol.

DOS(E_F)	0.000	states/eV per cell
raw total energy	-4.8589	eV/atom
space group	No. 62

Cell: 13.2644 10.5830 6.4803 Å, 90.00 90.00 90.00°
With the nearest neighbours (Å) after each atom.
Fractional positions:
Ga 0.0971 0.2500 0.2038  5 N 2.06-2.08
Ga 0.4029 0.7500 0.7038  5 N 2.06-2.08
Ga 0.5971 0.2500 0.2962  5 N 2.06-2.08
Ga 0.9029 0.7500 0.7962  5 N 2.06-2.08
H 0.0018 0.2500 0.5793  1 N 1.04
H 0.0168 0.0243 0.2145  1 N 1.04
H 0.0168 0.4757 0.2145  1 N 1.04
H 0.0619 0.6710 0.6025  1 N 1.04
H 0.0619 0.8290 0.6025  1 N 1.04
H 0.1182 0.0166 0.0633  1 N 1.03
H 0.1182 0.4834 0.0633  1 N 1.03
H 0.1310 0.0160 0.3200  1 N 1.03
H 0.1310 0.4840 0.3200  1 N 1.03
H 0.1897 0.1702 0.8751  1 N 1.04
H 0.1897 0.3298 0.8751  1 N 1.04
H 0.1966 0.1703 0.5229  1 N 1.04
H 0.1966 0.3297 0.5229  1 N 1.04
H 0.2195 0.7500 0.8856  1 N 1.03
H 0.2265 0.7500 0.5165  1 N 1.03
H 0.2735 0.2500 0.0165  1 N 1.03
H 0.2805 0.2500 0.3856  1 N 1.03
H 0.3034 0.6703 0.0229  1 N 1.04
H 0.3034 0.8297 0.0229  1 N 1.04
H 0.3103 0.6702 0.3751  1 N 1.04
H 0.3103 0.8298 0.3751  1 N 1.04
H 0.3690 0.5160 0.8200  1 N 1.03
H 0.3690 0.9840 0.8200  1 N 1.03
H 0.3818 0.5166 0.5633  1 N 1.03
H 0.3818 0.9834 0.5633  1 N 1.03
H 0.4381 0.1710 0.1025  1 N 1.04
H 0.4381 0.3290 0.1025  1 N 1.04
H 0.4832 0.5243 0.7145  1 N 1.04
H 0.4832 0.9757 0.7145  1 N 1.04
H 0.4982 0.7500 0.0793  1 N 1.04
H 0.5018 0.2500 0.9207  1 N 1.04
H 0.5168 0.0243 0.2855  1 N 1.04
H 0.5168 0.4757 0.2855  1 N 1.04
H 0.5619 0.6710 0.8975  1 N 1.04
H 0.5619 0.8290 0.8975  1 N 1.04
H 0.6182 0.0166 0.4367  1 N 1.03
H 0.6182 0.4834 0.4367  1 N 1.03
H 0.6310 0.0160 0.1800  1 N 1.03
H 0.6310 0.4840 0.1800  1 N 1.03
H 0.6897 0.1702 0.6249  1 N 1.04
H 0.6897 0.3298 0.6249  1 N 1.04
H 0.6966 0.1703 0.9771  1 N 1.04
H 0.6966 0.3297 0.9771  1 N 1.04
H 0.7195 0.7500 0.6144  1 N 1.03
H 0.7265 0.7500 0.9835  1 N 1.03
H 0.7735 0.2500 0.4835  1 N 1.03
H 0.7805 0.2500 0.1144  1 N 1.03
H 0.8034 0.6703 0.4771  1 N 1.04
H 0.8034 0.8297 0.4771  1 N 1.04
H 0.8103 0.6702 0.1249  1 N 1.04
H 0.8103 0.8298 0.1249  1 N 1.04
H 0.8690 0.5160 0.6800  1 N 1.03
H 0.8690 0.9840 0.6800  1 N 1.03
H 0.8818 0.5166 0.9367  1 N 1.03
H 0.8818 0.9834 0.9367  1 N 1.03
H 0.9381 0.1710 0.3975  1 N 1.04
H 0.9381 0.3290 0.3975  1 N 1.04
H 0.9832 0.5243 0.7855  1 N 1.04
H 0.9832 0.9757 0.7855  1 N 1.04
H 0.9982 0.7500 0.4207  1 N 1.04
N 0.0171 0.7500 0.5759  3 H 1.04
N 0.0908 0.0548 0.1991  3 H 1.03-1.04
N 0.0908 0.4452 0.1991  3 H 1.03-1.04
N 0.2002 0.2500 0.9660  3 H 1.03-1.04
N 0.2060 0.2500 0.4311  3 H 1.03-1.04
N 0.2940 0.7500 0.9311  3 H 1.03-1.04
N 0.2998 0.7500 0.4660  3 H 1.03-1.04
N 0.4092 0.5548 0.6991  3 H 1.03-1.04
N 0.4092 0.9452 0.6991  3 H 1.03-1.04
N 0.4829 0.2500 0.0759  3 H 1.04
N 0.5171 0.7500 0.9241  3 H 1.04
N 0.5908 0.0548 0.3009  3 H 1.03-1.04
N 0.5908 0.4452 0.3009  3 H 1.03-1.04
N 0.7002 0.2500 0.5340  3 H 1.03-1.04
N 0.7060 0.2500 0.0689  3 H 1.03-1.04
N 0.7940 0.7500 0.5689  3 H 1.03-1.04
N 0.7998 0.7500 0.0340  3 H 1.03-1.04
N 0.9092 0.5548 0.8009  3 H 1.03-1.04
N 0.9092 0.9452 0.8009  3 H 1.03-1.04
N 0.9829 0.2500 0.4241  3 H 1.04
Cl 0.0348 0.7500 0.0582  1 H 2.40, 1 Ga 2.44
Cl 0.1549 0.5058 0.6928  6 H 2.22-2.46
Cl 0.1549 0.9942 0.6928  6 H 2.22-2.46
Cl 0.3451 0.0058 0.1928  6 H 2.22-2.46
Cl 0.3451 0.4942 0.1928  6 H 2.22-2.46
Cl 0.4652 0.2500 0.5582  1 H 2.40, 1 Ga 2.44
Cl 0.5348 0.7500 0.4418  1 H 2.40, 1 Ga 2.44
Cl 0.6549 0.5058 0.8072  6 H 2.22-2.46
Cl 0.6549 0.9942 0.8072  6 H 2.22-2.46
Cl 0.8451 0.0058 0.3072  6 H 2.22-2.46
Cl 0.8451 0.4942 0.3072  6 H 2.22-2.46
Cl 0.9652 0.2500 0.9418  1 H 2.40, 1 Ga 2.44